# Rb4Mn3TlF12

A geometry-optimized Rb4Mn3TlF12 structure (PBE+U, Alexandria via LeMat-Bulk). Values from VASP.

```
&SYSTEM
  ibrav = 0, nat = 20, ntyp = 4
/
ATOMIC_SPECIES
Rb 85.47 Rb.upf
Mn 54.94 Mn.upf
Tl 204.38 Tl.upf
F 19.00 F.upf
CELL_PARAMETERS angstrom
-4.431 4.431 4.431
4.431 -4.431 4.431
4.431 4.431 -4.431
ATOMIC_POSITIONS crystal
Rb 0.000 0.000 0.500
Rb 0.000 0.500 0.000
Rb 0.500 0.000 0.000
Rb 0.500 0.500 0.500
Mn 0.000 0.500 0.500
Mn 0.500 0.000 0.500
Mn 0.500 0.500 0.000
Tl 0.000 0.000 0.000
F 0.000 0.274 0.274
F 0.000 0.726 0.726
F 0.250 0.500 0.750
F 0.250 0.750 0.500
F 0.274 0.000 0.274
F 0.274 0.274 0.000
F 0.500 0.250 0.750
F 0.500 0.750 0.250
F 0.726 0.000 0.726
F 0.726 0.726 0.000
F 0.750 0.250 0.500
F 0.750 0.500 0.250
```

Values from the calculation:
- raw total energy (eV/atom) = -5.1622
- space-group type = Im-3m
- DOS(E_F) (states/eV/f.u.) = 1.743